First-principles (PBE+U) data for a relaxed RbFeN2O crystal, as listed in Alexandria.

Results
electronic total energy: -14.76 eV per formula unit
total moment: 5.99 μB/f.u.
calculated volume: 17.8 Å³/atom
space-group type: P4/mmm (123)
crystal system: tetragonal

Unit cell a=4.572 b=4.572 c=4.256 alpha=90.00 beta=90.00 gamma=90.00
Site moments in Bohr magnetons follow the coordinates.
Fractional coordinates of all 5 atoms:
Rb (0.000, 0.000, 0.000)  -0.02
Fe (0.500, 0.500, 0.500)  3.53
N (0.000, 0.500, 0.000)  0.76
N (0.500, 0.000, 0.000)  0.76
O (0.000, 0.000, 0.500)  0.20